# TaTl2Cl, relaxed, DFT PBE-GGA
data_TaTl2Cl
_chemical_formula_sum 'Ta2 Tl4 Cl2'
_cell_length_a 11.5110
_cell_length_b 3.1147
_cell_length_c 5.4058
_cell_angle_alpha 90.00
_cell_angle_beta 108.29
_cell_angle_gamma 90.00
_space_group_name_H-M_alt 'P 1'
_space_group_IT_number 1
loop_
_space_group_symop_operation_xyz
'x,y,z'
loop_
_atom_site_label
_atom_site_fract_x
_atom_site_fract_y
_atom_site_fract_z
Ta1 0.0000 0.0000 0.0000
Ta2 0.5000 0.5000 0.0000
Tl1 0.0412 0.5000 0.5060
Tl2 0.2476 0.5000 0.1560
Tl3 0.5412 0.0000 0.5060
Tl4 0.7476 0.0000 0.1560
Cl1 0.3325 0.0000 0.7404
Cl2 0.8325 0.5000 0.7404
# * crystal system: monoclinic
# * energy relative to the lowest polymorph listed for this composition: 0.79 eV per formula unit
# * SG: Cm, No. 8
# * uncorrected formation energy: 0.10 eV per atom